Model P:
ReSbAu: relaxed, GGA-PBE.

abc: 8.323 8.091 2.927
angles: 84.24 75.28 20.48
Fractional coordinates of all 3 atoms:
1 Au 0.981 0.981 0.019
2 Re 0.331 0.331 0.669
3 Sb 0.688 0.688 0.312

Calculated values
The space group is Fmm2. The total magnetization comes out at 0.000 μB per atom.


Model Q:
ReSbAu: relaxed, GGA-PBE.

abc: 5.519 5.519 5.519
angles: 144.68 144.68 50.82
Site moments in Bohr magnetons follow the coordinates.
Fractional coordinates of all 3 atoms:
1 Sb 0.682 0.682 0.000  0.00
2 Re 0.322 0.322 0.000  0.64
3 Au 0.996 0.996 0.000  0.08

Calculated values
The space group is I4mm. The total magnetization comes out at 0.265 μB per atom.


The relative energies come out as model P 0.113; model Q 0.000, with values in eV/atom.


Model P:
ReSb2Au: relaxed, GGA-PBE.

abc: 5.577 5.577 5.577
angles: 136.62 136.62 63.02
Site moments in Bohr magnetons follow the coordinates.
Fractional coordinates of all 4 atoms:
1 Au 0.500 0.500 0.000  0.00
2 Sb 0.250 0.750 0.500  0.01
3 Re 0.750 0.250 0.500  0.39
4 Sb 0.000 0.000 0.000  0.00

Calculated values
The space group is I-4m2. The total magnetization comes out at 0.117 μB per atom.


Model Q:
ReSb2Au: relaxed, GGA-PBE.

abc: 7.121 7.121 7.121
angles: 154.06 146.18 43.11
Fractional coordinates of all 4 atoms:
1 Au 0.437 0.437 0.000
2 Sb 0.058 0.058 0.000
3 Sb 0.782 0.282 0.500
4 Re 0.223 0.723 0.500

Calculated values
The space group is Imm2. The total magnetization comes out at 0.000 μB per atom.


The relative energies come out as model P 0.327; model Q 0.000, with values in eV/atom.


Model P:
ReSb2Au: relaxed, GGA-PBE.

abc: 3.280 3.212 10.244
angles: 53.04 90.00 90.00
Fractional coordinates of all 4 atoms:
1 Re 0.500 0.750 0.750
2 Au 0.500 0.250 0.250
3 Sb 0.000 0.860 0.953
4 Sb 0.000 0.640 0.547

Calculated values
The space group is P2/m. The total magnetization comes out at 0.000 μB per atom.


Model Q:
ReSb2Au: relaxed, GGA-PBE.

abc: 5.024 5.024 5.024
angles: 126.11 126.17 79.66
Site moments in Bohr magnetons follow the coordinates.
Fractional coordinates of all 4 atoms:
1 Au 0.750 0.250 0.500  0.06
2 Re 0.250 0.750 0.500  0.67
3 Sb 0.500 0.500 0.000  0.02
4 Sb 0.000 0.000 0.000  0.02

Calculated values
The space group is I4/mmm. The total magnetization comes out at 0.231 μB per atom.


The relative energies come out as model P 0.000; model Q 0.309, with values in eV/atom.


Model P:
ReSb2Au: relaxed, GGA-PBE.

abc: 3.305 3.305 7.565
angles: 90.00 90.00 90.00
Fractional coordinates of all 4 atoms:
1 Sb 0.000 0.000 0.533
2 Sb 0.000 0.000 0.967
3 Au 0.500 0.500 0.250
4 Re 0.500 0.500 0.750

Calculated values
The space group is P4/mmm. The total magnetization comes out at 0.000 μB per atom.


Model Q:
ReSb2Au: relaxed, GGA-PBE.

abc: 4.850 4.850 4.850
angles: 60.00 60.00 60.00
Site moments in Bohr magnetons follow the coordinates.
Fractional coordinates of all 4 atoms:
1 Au 0.500 0.500 0.500  0.06
2 Sb 0.750 0.750 0.750  0.01
3 Re 0.000 0.000 0.000  0.76
4 Sb 0.250 0.250 0.250  0.01

Calculated values
The space group is Fm-3m. The total magnetization comes out at 0.251 μB per atom.


The relative energies come out as model P 0.000; model Q 0.290, with values in eV/atom.


Model P:
ReSb3Au: relaxed, GGA-PBE.

abc: 5.302 5.302 5.302
angles: 90.00 90.00 90.00
Site moments in Bohr magnetons follow the coordinates.
Fractional coordinates of all 5 atoms:
1 Sb 0.500 0.000 0.000  -0.13
2 Sb 0.000 0.000 0.500  -0.10
3 Re 0.500 0.500 0.500  3.24
4 Sb 0.000 0.500 0.000  -0.12
5 Au 0.000 0.000 0.000  0.00

Calculated values
The space group is Pm-3m. The total magnetization comes out at 0.634 μB per atom.


Model Q:
ReSb3Au: relaxed, GGA-PBE.

abc: 5.164 5.164 5.164
angles: 90.00 90.00 90.00
Fractional coordinates of all 5 atoms:
1 Sb 0.500 0.000 0.000
2 Sb 0.000 0.000 0.500
3 Sb 0.000 0.500 0.000
4 Au 0.500 0.500 0.500
5 Re 0.000 0.000 0.000

Calculated values
The space group is Pm-3m. The total magnetization comes out at 0.000 μB per atom.


The relative energies come out as model P 0.858; model Q 0.000, with values in eV/atom.


Model P:
ReSb2TeAu: relaxed, GGA-PBE.

abc: 5.318 5.318 5.387
angles: 90.00 90.00 90.00
Site moments in Bohr magnetons follow the coordinates.
Fractional coordinates of all 5 atoms:
1 Re 0.500 0.500 0.500  3.47
2 Au 0.000 0.000 0.000  -0.01
3 Te 0.000 0.000 0.500  -0.06
4 Sb 0.500 0.000 0.000  -0.15
5 Sb 0.000 0.500 0.000  -0.15

Calculated values
The space group is P4/mmm. The total magnetization comes out at 0.690 μB per atom.


Model Q:
ReSb2TeAu: relaxed, GGA-PBE.

abc: 5.182 5.182 5.188
angles: 90.00 90.00 90.00
Fractional coordinates of all 5 atoms:
1 Te 0.000 0.000 0.500
2 Re 0.000 0.000 0.000
3 Sb 0.500 0.000 0.000
4 Sb 0.000 0.500 0.000
5 Au 0.500 0.500 0.500

Calculated values
The space group is P4/mmm. The total magnetization comes out at 0.000 μB per atom.


The relative energies come out as model P 0.804; model Q 0.000, with values in eV/atom.


Model P:
ReSbTe2Au: relaxed, GGA-PBE.

abc: 5.198 5.198 5.227
angles: 90.00 90.00 90.00
Fractional coordinates of all 5 atoms:
1 Sb 0.000 0.000 0.500
2 Au 0.500 0.500 0.500
3 Te 0.000 0.500 0.000
4 Te 0.500 0.000 0.000
5 Re 0.000 0.000 0.000

Calculated values
The space group is P4/mmm. The total magnetization comes out at 0.000 μB per atom.


Model Q:
ReSbTe2Au: relaxed, GGA-PBE.

abc: 5.422 5.422 5.277
angles: 90.00 90.00 90.00
Site moments in Bohr magnetons follow the coordinates.
Fractional coordinates of all 5 atoms:
1 Re 0.500 0.500 0.500  3.64
2 Au 0.000 0.000 0.000  -0.01
3 Te 0.500 0.000 0.000  -0.10
4 Sb 0.000 0.000 0.500  -0.20
5 Te 0.000 0.500 0.000  -0.10

Calculated values
The space group is P4/mmm. The total magnetization comes out at 0.735 μB per atom.


The relative energies come out as model P 0.000; model Q 0.741, with values in eV/atom.